Entry 1:
Below is a geometry-optimized CoCu3Ni structure, with properties calculated at the PBE level.

```
data_CoCu3Ni
_space_group_name_H-M_alt 'P m -3 m'
_space_group_IT_number 221
_space_group_name_Hall '-P 4 2 3'
_cell_length_a 4.3235
_cell_length_b 4.3235
_cell_length_c 4.3235
_cell_angle_alpha 90.00
_cell_angle_beta 90.00
_cell_angle_gamma 90.00
loop_
_atom_site_label
_atom_site_type_symbol
_atom_site_fract_x
_atom_site_fract_y
_atom_site_fract_z
_atom_site_occupancy
Co1 Co 0.0000 0.0000 0.0000 1
Cu1 Cu 0.0000 0.5000 0.5000 1
Ni1 Ni 0.5000 0.5000 0.5000 1
```

Values from the calculation:
As for the formation enthalpy at 0 K: 1.17 eV/atom. Its density of states at the Fermi level is 4.53 states/eV/f.u. For the density, the calculation gives 6.33 g/cm3. As for the magnetization: 0.400 μB/atom.

Entry 2:
Below is a geometry-optimized CoCu3Ni12 structure, with properties calculated at the PBE level.

```
data_CoCu3Ni12
_space_group_name_H-M_alt 'P 4/m m m'
_space_group_IT_number 123
_space_group_name_Hall '-P 4 2'
_cell_length_a 3.5302
_cell_length_b 3.5302
_cell_length_c 14.1591
_cell_angle_alpha 90.00
_cell_angle_beta 90.00
_cell_angle_gamma 90.00
loop_
_atom_site_label
_atom_site_type_symbol
_atom_site_fract_x
_atom_site_fract_y
_atom_site_fract_z
_atom_site_occupancy
Co1 Co 0.0000 0.0000 0.0000 1
Cu1 Cu 0.0000 0.0000 0.2496 1
Cu2 Cu 0.0000 0.0000 0.5000 1
Ni1 Ni 0.0000 0.5000 0.1224 1
Ni2 Ni 0.0000 0.5000 0.3749 1
Ni3 Ni 0.5000 0.5000 0.0000 1
Ni4 Ni 0.5000 0.5000 0.2484 1
Ni5 Ni 0.5000 0.5000 0.5000 1
```

Values from the calculation:
As for the formation enthalpy at 0 K: 0.04 eV/atom. Its density of states at the Fermi level is 21.94 states/eV/f.u. For the density, the calculation gives 8.98 g/cm3. As for the magnetization: 0.255 μB/atom.

Entry 3:
Below is a geometry-optimized CoCu2Ni structure, with properties calculated at the PBE level.

```
data_CoCu2Ni
_space_group_name_H-M_alt 'R 3 m'
_space_group_IT_number 160
_space_group_name_Hall 'R 3 -2"'
_cell_length_a 2.5049
_cell_length_b 2.5049
_cell_length_c 25.1647
_cell_angle_alpha 90.00
_cell_angle_beta 90.00
_cell_angle_gamma 120.00
loop_
_atom_site_label
_atom_site_type_symbol
_atom_site_fract_x
_atom_site_fract_y
_atom_site_fract_z
_atom_site_occupancy
Co1 Co 0.0000 0.0000 0.0000 1
Cu1 Cu 0.0000 0.0000 0.5827 1
Cu2 Cu 0.0000 0.0000 0.7507 1
Ni1 Ni 0.0000 0.0000 0.1668 1
```

Values from the calculation:
As for the formation enthalpy at 0 K: 0.08 eV/atom. Its density of states at the Fermi level is 3.45 states/eV/f.u. For the density, the calculation gives 8.91 g/cm3. As for the magnetization: 0.512 μB/atom.

Entry 4:
Below is a geometry-optimized CoCu2Ni3 structure, with properties calculated at the PBE level.

```
data_CoCu2Ni3
_space_group_name_H-M_alt 'P -3 m 1'
_space_group_IT_number 164
_space_group_name_Hall '-P 3 2"'
_cell_length_a 5.0148
_cell_length_b 5.0148
_cell_length_c 6.1838
_cell_angle_alpha 90.00
_cell_angle_beta 90.00
_cell_angle_gamma 120.00
loop_
_atom_site_label
_atom_site_type_symbol
_atom_site_fract_x
_atom_site_fract_y
_atom_site_fract_z
_atom_site_occupancy
Co1 Co 0.3333 0.6667 0.3443 1
Cu1 Cu 0.0000 0.0000 0.0000 1
Cu2 Cu 0.0000 0.5000 0.0000 1
Ni1 Ni 0.1669 0.3338 0.6623 1
```

Values from the calculation:
As for the formation enthalpy at 0 K: 0.04 eV/atom. Its density of states at the Fermi level is 6.98 states/eV/f.u. For the density, the calculation gives 8.93 g/cm3. As for the magnetization: 0.575 μB/atom.

Entry 5:
Below is a geometry-optimized CoCu2Ni structure, with properties calculated at the PBE level.

```
data_CoCu2Ni
_space_group_name_H-M_alt 'I m m m'
_space_group_IT_number 71
_space_group_name_Hall '-I 2 2'
_cell_length_a 2.5886
_cell_length_b 4.1861
_cell_length_c 8.5057
_cell_angle_alpha 90.00
_cell_angle_beta 90.00
_cell_angle_gamma 90.00
loop_
_atom_site_label
_atom_site_type_symbol
_atom_site_fract_x
_atom_site_fract_y
_atom_site_fract_z
_atom_site_occupancy
Co1 Co 0.0000 0.0000 0.0000 1
Cu1 Cu 0.0000 0.5000 0.2490 1
Ni1 Ni 0.0000 0.0000 0.5000 1
```

Values from the calculation:
As for the formation enthalpy at 0 K: 0.15 eV/atom. Its density of states at the Fermi level is 4.60 states/eV/f.u. For the density, the calculation gives 8.82 g/cm3. As for the magnetization: 0.511 μB/atom.

Entry 6:
Below is a geometry-optimized CoCu2Ni structure, with properties calculated at the PBE level.

```
data_CoCu2Ni
_space_group_name_H-M_alt 'C 1 2/m 1'
_space_group_IT_number 12
_cell_length_a 8.4408
_cell_length_b 2.4936
_cell_length_c 4.3803
_cell_angle_alpha 90.00
_cell_angle_beta 99.18
_cell_angle_gamma 90.00
loop_
_space_group_symop_operation_xyz
'x,y,z'
'-x,-y,-z'
'-x,y,-z'
'x,-y,z'
'x+1/2,y+1/2,z'
'-x+1/2,-y+1/2,-z'
'-x+1/2,y+1/2,-z'
'x+1/2,-y+1/2,z'
loop_
_atom_site_label
_atom_site_type_symbol
_atom_site_fract_x
_atom_site_fract_y
_atom_site_fract_z
_atom_site_occupancy
Co1 Co 0.0000 0.0000 0.0000 1
Cu1 Cu 0.2497 0.0000 0.7496 1
Ni1 Ni 0.0000 0.5000 0.5000 1
```

Values from the calculation:
As for the formation enthalpy at 0 K: 0.09 eV/atom. Its density of states at the Fermi level is 4.40 states/eV/f.u. For the density, the calculation gives 8.93 g/cm3. As for the magnetization: 0.503 μB/atom.

Entry 7:
Below is a geometry-optimized Co3CuNi7 structure, with properties calculated at the PBE level.

```
data_Co3CuNi7
_space_group_name_H-M_alt 'C 1 2/m 1'
_space_group_IT_number 12
_cell_length_a 8.3068
_cell_length_b 8.0921
_cell_length_c 4.3951
_cell_angle_alpha 90.00
_cell_angle_beta 115.45
_cell_angle_gamma 90.00
loop_
_space_group_symop_operation_xyz
'x,y,z'
'-x,-y,-z'
'-x,y,-z'
'x,-y,z'
'x+1/2,y+1/2,z'
'-x+1/2,-y+1/2,-z'
'-x+1/2,y+1/2,-z'
'x+1/2,-y+1/2,z'
loop_
_atom_site_label
_atom_site_type_symbol
_atom_site_fract_x
_atom_site_fract_y
_atom_site_fract_z
_atom_site_occupancy
Co1 Co 0.0000 0.0000 0.0000 1
Co2 Co 0.0000 0.2069 0.5000 1
Cu1 Cu 0.0000 0.5000 0.0000 1
Ni1 Ni 0.0000 0.5000 0.5000 1
Ni2 Ni 0.1759 0.2386 0.1763 1
Ni3 Ni 0.2124 0.0000 0.5599 1
```

Values from the calculation:
As for the formation enthalpy at 0 K: 0.38 eV/atom. Its density of states at the Fermi level is 15.38 states/eV/f.u. For the density, the calculation gives 8.11 g/cm3. As for the magnetization: 0.863 μB/atom.

Entry 8:
Below is a geometry-optimized Co4CuNi12 structure, with properties calculated at the PBE level.

```
data_Co4CuNi12
_space_group_name_H-M_alt 'I m -3 m'
_space_group_IT_number 229
_space_group_name_Hall '-I 4 2 3'
_cell_length_a 7.3259
_cell_length_b 7.3259
_cell_length_c 7.3259
_cell_angle_alpha 90.00
_cell_angle_beta 90.00
_cell_angle_gamma 90.00
loop_
_atom_site_label
_atom_site_type_symbol
_atom_site_fract_x
_atom_site_fract_y
_atom_site_fract_z
_atom_site_occupancy
Co1 Co 0.2500 0.2500 0.2500 1
Cu1 Cu 0.0000 0.0000 0.0000 1
Ni1 Ni 0.0000 0.0000 0.2995 1
Ni2 Ni 0.0000 0.2500 0.5000 1
```

Values from the calculation:
As for the formation enthalpy at 0 K: 0.27 eV/atom. Its density of states at the Fermi level is 25.79 states/eV/f.u. For the density, the calculation gives 8.48 g/cm3. As for the magnetization: 0.895 μB/atom.

Q: Which value of magnetization does entry 7 give?
A: 0.863 μB/atom

Q: The highest formation enthalpy at 0 K belongs to which entry?
A: CoCu3Ni